[1]
{
  "formula": "GaMoAs2Se",
  "functional": "GGA-PBEsol",
  "state": "relaxed",
  "lattice": [[4.713, 0.000, 0.000], [0.000, 4.713, 0.000], [0.000, 0.000, 4.876]],
  "species": ["Mo", "Ga", "As", "As", "Se"],
  "fractional_positions": [[0.500, 0.500, 0.500], [0.000, 0.000, 0.000], [0.000, 0.500, 0.000], [0.500, 0.000, 0.000], [0.000, 0.000, 0.500]],
  "sg": "P4/mmm, No. 123",
  "raw_formation_energy_ev_per_atom": 1.12
}

---

[2]
{
  "formula": "MgZr2Si",
  "functional": "GGA-PBEsol",
  "state": "relaxed",
  "lattice": [[4.227, 0.000, 0.000], [0.000, 4.239, 0.000], [-2.113, -2.120, 4.187]],
  "species": ["Mg", "Si", "Zr", "Zr"],
  "fractional_positions": [[0.500, 0.000, 0.000], [0.000, 0.500, 0.000], [0.750, 0.750, 0.499], [0.250, 0.250, 0.501]],
  "sg": "Immm, No. 71",
  "raw_formation_energy_ev_per_atom": -0.31
}

---

[3]
{
  "formula": "BaBC2",
  "functional": "GGA-PBEsol",
  "state": "relaxed",
  "lattice": [[-2.203, 1.275, -3.666], [-3.861, -0.280, 2.222], [3.489, 4.317, 2.122]],
  "species": ["C", "C", "C", "C", "B", "B", "Ba", "Ba"],
  "fractional_positions": [[0.625, 0.375, 0.750], [0.125, 0.375, 0.750], [0.625, 0.875, 0.250], [0.625, 0.375, 0.250], [0.500, 0.500, 0.000], [0.750, 0.250, 0.500], [0.000, 0.000, 0.000], [0.250, 0.750, 0.500]],
  "sg": "I4_1/amd, No. 141",
  "delta_e_f_ev_per_atom": 0.77
}

---

[4]
{
  "formula": "CaCuO2",
  "functional": "GGA-PBEsol",
  "state": "relaxed",
  "lattice": [[3.097, 0.000, 0.000], [0.000, 5.676, -0.004], [0.000, -1.773, 5.392]],
  "species": ["Ca", "Ca", "O", "O", "O", "O", "Cu", "Cu"],
  "fractional_positions": [[0.000, 0.000, 0.500], [0.000, 0.500, 0.000], [0.500, 0.202, 0.798], [0.000, 0.320, 0.320], [0.000, 0.680, 0.680], [0.500, 0.798, 0.202], [0.500, 0.500, 0.500], [0.500, 0.000, 0.000]],
  "sg": "Cmmm, No. 65",
  "raw_formation_energy_ev_per_atom": -1.74
}

---

Computed raw total energy, in the same sequence as the records: -4.712 -6.722 -6.345 -5.985 eV/atom.